Record 1
Below is crystalline GeI3N at its relaxed geometry, with properties calculated at the PBE level.

Unit cell a=5.068 b=5.068 c=5.068 alpha=90.00 beta=90.00 gamma=90.00
Sites, in units of the cell vectors:
N 0.000 0.000 0.000
Ge 0.500 0.500 0.500
I 0.500 0.000 0.000
I 0.000 0.000 0.500
I 0.000 0.500 0.000

Uncorrected formation energy, kJ/mol of formula units: 471.9
Crystal system: cubic
Energy above the lowest structure with this stoichiometry, kJ/mol of formula units: 0

---

Record 2
Below is crystalline HfIrW2 at its relaxed geometry, with properties calculated at the PBE level.

Unit cell a=7.574 b=7.574 c=5.956 alpha=50.52 beta=50.52 gamma=90.00
Sites, in units of the cell vectors:
Hf 0.250 0.750 0.500
Hf 0.500 0.500 0.000
W 0.875 0.910 0.750
W 0.090 0.625 0.250
W 0.660 0.125 0.250
Ir 0.000 0.000 0.000
Ir 0.750 0.250 0.500
W 0.375 0.340 0.750

Crystal system: tetragonal
Energy above the lowest structure with this stoichiometry, kJ/mol of formula units: 123

---

Record 3
Below is crystalline LuUGa4 at its relaxed geometry, with properties calculated at the PBE level.

Unit cell a=5.485 b=5.485 c=5.485 alpha=60.00 beta=60.00 gamma=60.00
Each line ends with the local moment (μB).
Sites, in units of the cell vectors:
Ga 0.625 0.124 0.625  0.01
U 0.000 0.000 0.000  2.55
Ga 0.625 0.625 0.625  0.01
Ga 0.124 0.625 0.625  0.01
Lu 0.250 0.250 0.250  0.21
Ga 0.625 0.625 0.124  0.01

Total energy, eV/atom: -4.892
Crystal system: cubic

---

Record 4
Below is crystalline ZnIn2N at its relaxed geometry, with properties calculated at the PBE level.

Unit cell a=6.117 b=6.117 c=6.329 alpha=61.10 beta=61.10 gamma=90.00
Sites, in units of the cell vectors:
In 0.194 0.625 0.250
In 0.556 0.125 0.250
In 0.375 0.444 0.750
In 0.875 0.806 0.750
N 0.250 0.750 0.500
Zn 0.000 0.000 0.000
Zn 0.750 0.250 0.500
N 0.500 0.500 0.000

Uncorrected formation energy, kJ/mol of formula units: 126.4
Crystal system: tetragonal
Energy above the lowest structure with this stoichiometry, kJ/mol of formula units: 0

---

Record 5
Below is crystalline Li2LaPm2Bi2 at its relaxed geometry, with properties calculated at the PBE level.

Unit cell a=4.932 b=4.932 c=9.759 alpha=75.36 beta=75.36 gamma=60.00
Sites, in units of the cell vectors:
Bi 0.737 0.737 0.789
Li 0.586 0.586 0.241
La 0.000 0.000 0.000
Li 0.414 0.414 0.759
Pm 0.131 0.131 0.606
Bi 0.263 0.263 0.211
Pm 0.869 0.869 0.394

Total energy, eV/atom: -4.198
Crystal system: trigonal

---

Record 6
Below is crystalline Tb5NdIr6 at its relaxed geometry, with properties calculated at the PBE level.

Unit cell a=4.982 b=6.680 c=7.873 alpha=90.00 beta=71.62 gamma=90.00
Sites, in units of the cell vectors:
Ir 0.831 0.252 0.338
Tb 0.333 0.500 0.333
Tb 0.667 0.500 0.667
Ir 0.500 0.256 0.000
Tb 0.000 0.500 0.000
Ir 0.500 0.744 0.000
Tb 0.333 0.000 0.335
Nd 0.000 0.000 0.000
Ir 0.169 0.748 0.662
Tb 0.667 0.000 0.665
Ir 0.831 0.748 0.338
Ir 0.169 0.252 0.662

Total energy, eV/atom: -7.490
Crystal system: monoclinic

---

Record 7
Below is crystalline AcEuSnAu at its relaxed geometry, with properties calculated at the PBE level.

Unit cell a=5.583 b=5.583 c=5.583 alpha=60.00 beta=60.00 gamma=60.00
Each line ends with the local moment (μB).
Sites, in units of the cell vectors:
Eu 0.000 0.000 0.000  6.86
Sn 0.750 0.750 0.750  -0.04
Ac 0.500 0.500 0.500  0.01
Au 0.250 0.250 0.250  -0.01

Total energy, eV/atom: -6.163
Crystal system: cubic

---

Record 8
Below is crystalline Cs2InGePt at its relaxed geometry, with properties calculated at the PBE level.

Unit cell a=6.894 b=4.715 c=6.894 alpha=90.00 beta=90.00 gamma=90.00
Sites, in units of the cell vectors:
In 0.500 0.500 0.500
Ge 0.000 0.500 0.000
Cs 0.000 0.000 0.500
Pt 0.000 0.000 0.000
Cs 0.500 0.000 0.000

Total energy, eV/atom: -2.971
Crystal system: tetragonal